Computed, not measured: crystalline KSrC2 at its relaxed geometry at the PBE level of DFT.

Values from the calculation:
ΔE to the lowest computed polymorph, eV per atom: 0.0000
Symmetry: Fm-3m
E_form, meV per atom: 1898.1
Spin magnetization, μB/cell: 0.00

Cell: 6.7428 6.7428 6.7428 Å, 90.00 90.00 90.00°
Atoms (fractional coordinates):
1 K 0.0000 0.0000 0.0000
2 K 0.0000 0.5000 0.5000
3 K 0.5000 0.0000 0.5000
4 K 0.5000 0.5000 0.0000
5 Sr 0.0000 0.0000 0.5000
6 Sr 0.0000 0.5000 0.0000
7 Sr 0.5000 0.0000 0.0000
8 Sr 0.5000 0.5000 0.5000
9 C 0.2500 0.2500 0.2500
10 C 0.2500 0.2500 0.7500
11 C 0.2500 0.7500 0.2500
12 C 0.2500 0.7500 0.7500
13 C 0.7500 0.2500 0.2500
14 C 0.7500 0.2500 0.7500
15 C 0.7500 0.7500 0.2500
16 C 0.7500 0.7500 0.7500